Computed, not measured: Fe3Pb5F19 after structural relaxation at the PBE with a Hubbard U level of DFT.

Cell and atoms, written as POSCAR:
```
Fe3Pb5F19
1.0
11.073 0.041 0.000
-8.223 7.415 0.000
-1.425 -3.728 10.328
Pb F Fe
10 38 6
Cartesian
2.574 -1.945 8.780
2.551 2.336 7.229
5.684 0.407 5.164
9.305 -0.245 3.099
-1.767 -0.286 7.229
-5.649 5.470 1.549
-3.964 4.094 5.164
-1.791 3.995 8.780
2.551 2.336 3.099
-1.791 3.996 1.549
2.411 1.234 9.642
-2.398 -1.201 9.642
-0.065 -2.092 8.517
6.906 -0.124 7.710
0.387 4.981 3.653
-6.364 4.947 3.833
2.785 5.364 1.811
3.582 -0.928 5.164
1.408 3.684 0.000
7.946 2.092 1.416
-5.205 0.847 10.251
-2.797 0.255 5.164
4.419 0.826 7.710
-4.677 2.228 6.651
4.553 -2.553 7.624
-6.364 4.947 6.496
-1.863 5.425 5.164
-1.607 3.129 6.496
6.906 -0.124 2.618
0.078 2.126 1.811
0.387 4.981 6.675
4.419 0.826 2.618
2.833 7.412 0.000
-0.308 -1.024 5.164
0.078 2.126 8.517
6.396 2.269 3.677
5.868 0.889 0.078
-3.670 4.862 2.704
0.451 6.256 0.686
0.971 2.760 5.164
2.411 1.234 0.686
3.679 2.053 5.164
1.608 0.241 3.653
-3.127 2.051 8.912
5.122 3.171 1.416
-5.950 3.130 8.912
1.608 0.241 6.675
-1.607 3.129 3.833
0.681 1.782 0.000
-0.472 4.043 5.164
6.112 1.527 1.884
-4.961 1.486 8.444
2.106 5.510 0.000
1.623 -1.030 5.164
```

As for the space group: I4cm, No. 108. The calculation puts the total energy at -5.071 eV/atom. The value obtained for the total moment is 0.55 μB/atom. The density of states at the Fermi level is 0.000 states/eV per atom.